1.
Entry from OQMD via LeMat-Bulk: a relaxed YTl2Fe crystal (PBE).

Cell lengths 5.024, 5.024, 5.024 Å; angles 60.00, 60.00, 60.00 degrees
Site moments in Bohr magnetons follow the coordinates.
Positions (direct):
Fe 0.250 0.250 0.250  2.44
Tl 0.500 0.500 0.500  0.00
Tl 0.750 0.750 0.750  -0.01
Y 0.000 0.000 0.000  -0.20

- SG = F-43m
- M_tot (μB per cell) = 2.2
- crystal system = cubic
- final energy (eV/atom) = -4.57



2.
Entry from OQMD via LeMat-Bulk: a relaxed YTlZnFe crystal (PBE).

Cell lengths 4.846, 4.846, 4.846 Å; angles 60.00, 60.00, 60.00 degrees
Positions (direct):
Fe 0.750 0.750 0.750
Tl 0.000 0.000 0.000
Y 0.250 0.250 0.250
Zn 0.500 0.500 0.500

- SG = F-43m
- M_tot (μB per cell) = 2.5
- crystal system = cubic
- final energy (eV/atom) = -4.52
- excess energy over the best structure of this formula in the dataset (meV/atom) = 0



3.
Entry from OQMD via LeMat-Bulk: a relaxed YTlZnFe crystal (PBE).

Cell lengths 4.816, 4.816, 4.816 Å; angles 60.00, 60.00, 60.00 degrees
Positions (direct):
Fe 0.750 0.750 0.750
Tl 0.000 0.000 0.000
Y 0.500 0.500 0.500
Zn 0.250 0.250 0.250

- SG = F-43m
- M_tot (μB per cell) = 2.2
- crystal system = cubic
- final energy (eV/atom) = -4.47
- excess energy over the best structure of this formula in the dataset (meV/atom) = 52



4.
Entry from OQMD via LeMat-Bulk: a relaxed YZrTlFe crystal (PBE).

Cell lengths 4.886, 4.886, 4.886 Å; angles 60.00, 60.00, 60.00 degrees
Positions (direct):
Fe 0.750 0.750 0.750
Tl 0.000 0.000 0.000
Y 0.250 0.250 0.250
Zr 0.500 0.500 0.500

- SG = F-43m
- M_tot (μB per cell) = 0.0
- crystal system = cubic
- final energy (eV/atom) = -6.20
- excess energy over the best structure of this formula in the dataset (meV/atom) = 0



5.
Entry from OQMD via LeMat-Bulk: a relaxed ZrTlZnFe crystal (PBE).

Cell lengths 4.641, 4.641, 4.641 Å; angles 60.00, 60.00, 60.00 degrees
Positions (direct):
Fe 0.750 0.750 0.750
Tl 0.000 0.000 0.000
Zn 0.250 0.250 0.250
Zr 0.500 0.500 0.500

- SG = F-43m
- M_tot (μB per cell) = 1.5
- crystal system = cubic
- final energy (eV/atom) = -4.98
- excess energy over the best structure of this formula in the dataset (meV/atom) = 0



6.
Entry from OQMD via LeMat-Bulk: a relaxed ZrTlZnFe crystal (PBE).

Cell lengths 4.679, 4.679, 4.679 Å; angles 60.00, 60.00, 60.00 degrees
Positions (direct):
Fe 0.750 0.750 0.750
Tl 0.000 0.000 0.000
Zn 0.500 0.500 0.500
Zr 0.250 0.250 0.250

- SG = F-43m
- M_tot (μB per cell) = 2.1
- crystal system = cubic
- final energy (eV/atom) = -4.91
- excess energy over the best structure of this formula in the dataset (meV/atom) = 72



7.
Entry from OQMD via LeMat-Bulk: a relaxed TmFe crystal (PBE).

Cell lengths 4.226, 4.226, 4.226 Å; angles 60.00, 60.00, 60.00 degrees
Site moments in Bohr magnetons follow the coordinates.
Positions (direct):
Fe 0.000 0.000 0.000  1.86
Tm 0.250 0.250 0.250  -0.29

- SG = F-43m
- M_tot (μB per cell) = 1.4
- crystal system = cubic
- final energy (eV/atom) = -4.89



8.
Entry from OQMD via LeMat-Bulk: a relaxed TmFe3 crystal (PBE).

Cell lengths 4.972, 4.972, 4.972 Å; angles 135.45, 135.45, 64.84 degrees
Site moments in Bohr magnetons follow the coordinates.
Positions (direct):
Fe 0.500 0.500 0.000  2.28
Fe 0.750 0.250 0.500  2.54
Fe 0.250 0.750 0.500  2.54
Tm 0.000 0.000 0.000  -0.36

- SG = I4/mmm
- M_tot (μB per cell) = 7.1
- crystal system = tetragonal
- final energy (eV/atom) = -7.11



9.
Entry from OQMD via LeMat-Bulk: a relaxed Tm3Fe crystal (PBE).

Cell lengths 4.614, 4.614, 4.614 Å; angles 90.00, 90.00, 90.00 degrees
Site moments in Bohr magnetons follow the coordinates.
Positions (direct):
Fe 0.000 0.000 0.000  2.52
Tm 0.500 0.500 0.000  -0.22
Tm 0.500 0.000 0.500  -0.25
Tm 0.000 0.500 0.500  -0.30

- SG = Pm-3m
- M_tot (μB per cell) = 1.7
- crystal system = cubic
- final energy (eV/atom) = -5.16



10.
Entry from OQMD via LeMat-Bulk: a relaxed TmFe crystal (PBE).

Cell lengths 4.669, 4.669, 5.407 Å; angles 90.00, 90.00, 120.00 degrees
Site moments in Bohr magnetons follow the coordinates.
Positions (direct):
Fe 0.333 0.667 0.438  2.09
Fe 0.000 0.000 0.938  2.10
Tm 0.000 0.000 0.437  -0.34
Tm 0.333 0.667 0.937  -0.34

- SG = P6_3/mmc
- M_tot (μB per cell) = 3.4
- crystal system = hexagonal
- final energy (eV/atom) = -5.41



11.
Entry from OQMD via LeMat-Bulk: a relaxed TmFe2 crystal (PBE).

Cell lengths 5.074, 5.074, 8.238 Å; angles 90.00, 90.00, 120.00 degrees
Site moments in Bohr magnetons follow the coordinates.
Positions (direct):
Fe 0.000 0.000 0.000  1.82
Fe 0.166 0.332 0.250  1.87
Fe 0.166 0.834 0.250  1.96
Fe 0.668 0.834 0.250  1.66
Fe 0.000 0.000 0.500  1.82
Fe 0.332 0.166 0.750  1.66
Fe 0.834 0.166 0.750  1.96
Fe 0.834 0.668 0.750  1.87
Tm 0.667 0.333 0.062  -0.61
Tm 0.667 0.333 0.438  -0.60
Tm 0.333 0.667 0.562  -0.60
Tm 0.333 0.667 0.938  -0.61

- SG = P6_3/mmc
- M_tot (μB per cell) = 12.4
- crystal system = hexagonal
- final energy (eV/atom) = -7.15



12.
Entry from OQMD via LeMat-Bulk: a relaxed TmFe3 crystal (PBE).

Cell lengths 5.763, 5.763, 4.278 Å; angles 90.00, 90.00, 120.00 degrees
Site moments in Bohr magnetons follow the coordinates.
Positions (direct):
Fe 0.139 0.279 0.250  2.28
Fe 0.139 0.861 0.250  2.33
Fe 0.721 0.861 0.250  2.21
Fe 0.279 0.139 0.750  2.21
Fe 0.861 0.139 0.750  2.33
Fe 0.861 0.721 0.750  2.28
Tm 0.667 0.333 0.250  -0.26
Tm 0.333 0.667 0.750  -0.26

- SG = P6_3/mmc
- M_tot (μB per cell) = 13.2
- crystal system = hexagonal
- final energy (eV/atom) = -7.27